First-principles (PBE) data for a geometry-optimized HoNiH3 structure, as listed in Alexandria via LeMat-Bulk.

Calculated values
calculated volume = 8.6 Å³ per atom
electronic total energy = -4.55 eV per atom
symmetry = Pm-3m (221)
magnetic moment = 0.00 μB per formula unit

Cell and atoms, written as CIF:
```
data_HoNiH3
_chemical_formula_sum 'Ho1 Ni1 H3'
_cell_length_a 3.5075
_cell_length_b 3.5075
_cell_length_c 3.5075
_cell_angle_alpha 90.00
_cell_angle_beta 90.00
_cell_angle_gamma 90.00
_symmetry_space_group_name_H-M 'P 1'
_symmetry_Int_Tables_number 1
_symmetry_space_group_name_Hall 'P 1'
loop_
_atom_site_label
_atom_site_type_symbol
_atom_site_fract_x
_atom_site_fract_y
_atom_site_fract_z
Ho1 Ho 0.0000 0.0000 0.0000
Ni1 Ni 0.5000 0.5000 0.5000
H1 H 0.0000 0.5000 0.5000
H2 H 0.5000 0.0000 0.5000
H3 H 0.5000 0.5000 0.0000
```